(1)
# PmDyAgAu (GGA-PBE, optimized geometry)
# DFT formation energy, eV per atom: -0.5536
# Distance to the lowest polymorph of the same formula, kJ/mol of formula units: 6
# DFT total energy, eV per cell: -70.782
data_PmDyAgAu
_cell_length_a 7.326
_cell_length_b 7.326
_cell_length_c 7.326
_cell_angle_alpha 90.00
_cell_angle_beta 90.00
_cell_angle_gamma 90.00
_symmetry_space_group_name_H-M 'F -4 3 m'
_symmetry_Int_Tables_number 216
_symmetry_space_group_name_Hall 'F -4 2 3'
loop_
_atom_site_label
_atom_site_fract_x
_atom_site_fract_y
_atom_site_fract_z
Pm1 0.000 0.000 0.000
Dy1 0.000 0.000 0.500
Ag1 0.250 0.250 0.250
Au1 0.250 0.250 0.750

(2)
# PmDyAgAu (GGA-PBE, optimized geometry)
# DFT formation energy, eV per atom: -0.5689
# Distance to the lowest polymorph of the same formula, kJ/mol of formula units: 0
# DFT total energy, eV per cell: -17.757
data_PmDyAgAu
_cell_length_a 3.633
_cell_length_b 3.633
_cell_length_c 7.431
_cell_angle_alpha 90.00
_cell_angle_beta 90.00
_cell_angle_gamma 90.00
_symmetry_space_group_name_H-M 'P 4 m m'
_symmetry_Int_Tables_number 99
loop_
_symmetry_equiv_pos_as_xyz
'x,y,z'
'-y,x,z'
'-x,-y,z'
'y,-x,z'
'-x,y,z'
'y,x,z'
'x,-y,z'
'-y,-x,z'
loop_
_atom_site_label
_atom_site_fract_x
_atom_site_fract_y
_atom_site_fract_z
Pm1 0.000 0.000 0.000
Dy1 0.000 0.000 0.511
Ag1 0.500 0.500 0.271
Au1 0.500 0.500 0.737

(3)
# PrDyAgAu (GGA-PBE, optimized geometry)
# DFT formation energy, eV per atom: -0.5569
# Distance to the lowest polymorph of the same formula, kJ/mol of formula units: 0
# DFT total energy, eV per cell: -17.738
data_PrDyAgAu
_cell_length_a 3.652
_cell_length_b 3.652
_cell_length_c 7.510
_cell_angle_alpha 90.00
_cell_angle_beta 90.00
_cell_angle_gamma 90.00
_symmetry_space_group_name_H-M 'P 4 m m'
_symmetry_Int_Tables_number 99
loop_
_symmetry_equiv_pos_as_xyz
'x,y,z'
'-y,x,z'
'-x,-y,z'
'y,-x,z'
'-x,y,z'
'y,x,z'
'x,-y,z'
'-y,-x,z'
loop_
_atom_site_label
_atom_site_fract_x
_atom_site_fract_y
_atom_site_fract_z
Pr1 0.000 0.000 0.000
Dy1 0.000 0.000 0.489
Ag1 0.500 0.500 0.722
Au1 0.500 0.500 0.271